Density functional theory data (GGA-PBE) for a geometry-optimized Nb4AlB structure.

Results
Formation enthalpy at 0 K = -0.38 eV per atom
Offset from the most stable computed form = 0.000 eV/atom
E_tot = -8.83 eV/atom

abc: 5.105 6.087 6.087
angles: 90.00 90.00 90.00
Atoms (fractional coordinates):
Nb (0.500, 0.815, 0.636)
Nb (0.000, 0.815, 0.364)
Nb (0.000, 0.636, 0.815)
Al (0.250, 0.000, 0.000)
Nb (0.000, 0.185, 0.636)
B (0.750, 0.500, 0.500)
B (0.250, 0.500, 0.500)
Nb (0.500, 0.636, 0.185)
Nb (0.500, 0.364, 0.815)
Nb (0.500, 0.185, 0.364)
Nb (0.000, 0.364, 0.185)
Al (0.750, 0.000, 0.000)